A geometry-optimized LiAcHo2Te4 structure, computed with GGA-PBE.

Values from the calculation:
The energy is -38.3 eV/cell. For the uncorrected formation energy, the calculation gives -1.318 eV/atom. The volume comes out at 250.8 Å³ per cell. The density comes out at 7.1 g/cm³. The size of the total moment is 0.00 μB/atom.

Unit cell a=7.649 b=4.413 c=7.850 alpha=90.00 beta=108.85 gamma=90.00
Space group P2/m (No. 10)
One atom of each set of equivalent atoms:
Li  0.000  0.000  0.000 (multiplicity 1)
Ac  0.500  0.500  0.000 (multiplicity 1)
Ho  0.000  0.500  0.500 (multiplicity 1)
Ho  0.500  0.000  0.500 (multiplicity 1)
Te  0.231  0.000  0.734 (multiplicity 2)
Te  0.242  0.500  0.259 (multiplicity 2)

***

A geometry-optimized LiAc2HoTl6 structure, computed with GGA-PBE.

Values from the calculation:
The energy is -60.7 eV/cell. The energy of formation comes out at -0.1459 eV per atom. The volume comes out at 625.6 Å³ per cell. The density comes out at 9.8 g/cm³. The size of the total moment is 0.00 μB/atom.

Unit cell a=10.774 b=10.778 c=7.610 alpha=90.00 beta=134.94 gamma=90.00
Space group C2/m (No. 12)
One atom of each set of equivalent atoms:
Li  0.000  0.000  0.000 (multiplicity 2)
Ac  0.000  0.249  0.500 (multiplicity 4)
Ho  0.000  0.500  0.000 (multiplicity 2)
Tl  0.000  0.231  0.000 (multiplicity 4)
Tl  0.228  0.000  0.461 (multiplicity 4)
Tl  0.236  0.000  0.011 (multiplicity 4)

***

A geometry-optimized Li2AcHoTl4 structure, computed with GGA-PBE.

Values from the calculation:
The energy is -73.5 eV/cell. The energy of formation comes out at -0.3162 eV per atom. The volume comes out at 648.6 Å³ per cell. The density comes out at 9.4 g/cm³. The size of the total moment is 0.00 μB/atom.

Unit cell a=4.9829 b=4.9829 c=30.1645 alpha=90.00 beta=90.00 gamma=120.00
Space group R-3m (No. 166, hexagonal axes)
One atom of each set of equivalent atoms:
Li  0.0000  0.0000  0.2359 (multiplicity 6)
Ac  0.0000  0.0000  0.0000 (multiplicity 3)
Ho  0.0000  0.0000  0.5000 (multiplicity 3)
Tl  0.0000  0.0000  0.1206 (multiplicity 6)
Tl  0.0000  0.0000  0.3947 (multiplicity 6)

***

A geometry-optimized LiAcHo2Tl4 structure, computed with GGA-PBE.

Values from the calculation:
The energy is -80.9 eV/cell. The energy of formation comes out at -0.2908 eV per atom. The volume comes out at 685.0 Å³ per cell. The density comes out at 10.0 g/cm³. The size of the total moment is 0.00 μB/atom.

Unit cell a=5.2813 b=5.2813 c=28.3569 alpha=90.00 beta=90.00 gamma=120.00
Space group R-3m (No. 166, hexagonal axes)
One atom of each set of equivalent atoms:
Li  0.0000  0.0000  0.0000 (multiplicity 3)
Ac  0.0000  0.0000  0.5000 (multiplicity 3)
Ho  0.0000  0.0000  0.2593 (multiplicity 6)
Tl  0.0000  0.0000  0.1126 (multiplicity 6)
Tl  0.0000  0.0000  0.3703 (multiplicity 6)

***

A geometry-optimized LiAcYHo structure, computed with GGA-PBE.

Values from the calculation:
The energy is -64.1 eV/cell. The energy of formation comes out at 0.2625 eV per atom. The volume comes out at 524.5 Å³ per cell. The density comes out at 6.2 g/cm³. The size of the total moment is 0.00 μB/atom.

Unit cell a=8.065 b=8.065 c=8.065 alpha=90.00 beta=90.00 gamma=90.00
Space group F-43m (No. 216)
One atom of each set of equivalent atoms:
Li  0.000  0.000  0.000 (multiplicity 4)
Ac  0.000  0.000  0.500 (multiplicity 4)
Y  0.250  0.250  0.750 (multiplicity 4)
Ho  0.250  0.250  0.250 (multiplicity 4)

***

A geometry-optimized AcHoLu2 structure, computed with GGA-PBE.

Values from the calculation:
The energy is -50.6 eV/cell. The energy of formation comes out at 0.2145 eV per atom. The volume comes out at 404.2 Å³ per cell. The density comes out at 9.1 g/cm³. The size of the total moment is 0.00 μB/atom. As for the offset from the most stable computed form: 133.7 meV/atom.

Unit cell a=3.5259 b=3.5259 c=37.5386 alpha=90.00 beta=90.00 gamma=120.00
Space group R-3m (No. 166, hexagonal axes)
One atom of each set of equivalent atoms:
Ac  0.0000  0.0000  0.0000 (multiplicity 3)
Ho  0.0000  0.0000  0.5000 (multiplicity 3)
Lu  0.0000  0.0000  0.0930 (multiplicity 6)

***

A geometry-optimized AcHoLu2 structure, computed with GGA-PBE.

Values from the calculation:
The energy is -17.4 eV/cell. The energy of formation comes out at 0.0932 eV per atom. The volume comes out at 134.5 Å³ per cell. The density comes out at 9.2 g/cm³. The size of the total moment is 0.00 μB/atom. As for the offset from the most stable computed form: 12.4 meV/atom.

Unit cell a=4.095 b=4.095 c=8.019 alpha=90.00 beta=90.00 gamma=90.00
Space group P4/mmm (No. 123)
One atom of each set of equivalent atoms:
Ac  0.000  0.000  0.000 (multiplicity 1)
Ho  0.000  0.000  0.500 (multiplicity 1)
Lu  0.500  0.500  0.275 (multiplicity 2)

***

A geometry-optimized Ac2HoLu structure, computed with GGA-PBE.

Values from the calculation:
The energy is -51.1 eV/cell. The energy of formation comes out at 0.0715 eV per atom. The volume comes out at 440.3 Å³ per cell. The density comes out at 9.0 g/cm³. The size of the total moment is 0.00 μB/atom. As for the offset from the most stable computed form: 12.2 meV/atom.

Unit cell a=3.7854 b=3.7854 c=35.4803 alpha=90.00 beta=90.00 gamma=120.00
Space group R-3m (No. 166, hexagonal axes)
One atom of each set of equivalent atoms:
Ac  0.0000  0.0000  0.2492 (multiplicity 6)
Ho  0.0000  0.0000  0.0000 (multiplicity 3)
Lu  0.0000  0.0000  0.5000 (multiplicity 3)

***

A geometry-optimized Ac2HoLu structure, computed with GGA-PBE.

Values from the calculation:
The energy is -67.9 eV/cell. The energy of formation comes out at 0.0861 eV per atom. The volume comes out at 595.1 Å³ per cell. The density comes out at 8.9 g/cm³. The size of the total moment is 0.00 μB/atom. As for the offset from the most stable computed form: 26.8 meV/atom.

Unit cell a=8.411 b=8.411 c=8.411 alpha=90.00 beta=90.00 gamma=90.00
Space group Fm-3m (No. 225)
One atom of each set of equivalent atoms:
Ac  0.250  0.250  0.250 (multiplicity 8)
Ho  0.000  0.000  0.000 (multiplicity 4)
Lu  0.000  0.000  0.500 (multiplicity 4)

***

A geometry-optimized Ac2HoLu structure, computed with GGA-PBE.

Values from the calculation:
The energy is -17.1 eV/cell. The energy of formation comes out at 0.0608 eV per atom. The volume comes out at 147.4 Å³ per cell. The density comes out at 8.9 g/cm³. The size of the total moment is 0.00 μB/atom. As for the offset from the most stable computed form: 1.4 meV/atom.

Unit cell a=5.503 b=5.503 c=4.866 alpha=90.00 beta=90.00 gamma=90.00
Space group P4/mmm (No. 123)
One atom of each set of equivalent atoms:
Ac  0.000  0.500  0.000 (multiplicity 2)
Ho  0.000  0.000  0.500 (multiplicity 1)
Lu  0.500  0.500  0.500 (multiplicity 1)

***

A geometry-optimized Ac2HoLu structure, computed with GGA-PBE.

Values from the calculation:
The energy is -17.1 eV/cell. The energy of formation comes out at 0.0593 eV per atom. The volume comes out at 147.6 Å³ per cell. The density comes out at 8.9 g/cm³. The size of the total moment is 0.00 μB/atom. As for the offset from the most stable computed form: 0.0 meV/atom.

Unit cell a=3.892 b=3.892 c=9.741 alpha=90.00 beta=90.00 gamma=90.00
Space group P4/mmm (No. 123)
One atom of each set of equivalent atoms:
Ac  0.000  0.000  0.247 (multiplicity 2)
Ho  0.500  0.500  0.500 (multiplicity 1)
Lu  0.500  0.500  0.000 (multiplicity 1)

***

A geometry-optimized AcHo2Lu structure, computed with GGA-PBE.

Values from the calculation:
The energy is -17.4 eV/cell. The energy of formation comes out at 0.1029 eV per atom. The volume comes out at 137.6 Å³ per cell. The density comes out at 8.8 g/cm³. The size of the total moment is 0.00 μB/atom. As for the offset from the most stable computed form: 30.0 meV/atom.

Unit cell a=4.038 b=4.038 c=8.440 alpha=90.00 beta=90.00 gamma=90.00
Space group P4/mmm (No. 123)
One atom of each set of equivalent atoms:
Ac  0.000  0.000  0.000 (multiplicity 1)
Ho  0.500  0.500  0.284 (multiplicity 2)
Lu  0.000  0.000  0.500 (multiplicity 1)

***

A geometry-optimized AcHoLu2 structure, computed with GGA-PBE.

Values from the calculation:
The energy is -17.4 eV/cell. The energy of formation comes out at 0.0808 eV per atom. The volume comes out at 133.3 Å³ per cell. The density comes out at 9.2 g/cm³. The size of the total moment is 0.05 μB/atom. As for the offset from the most stable computed form: 0.0 meV/atom.

Unit cell a=5.166 b=5.166 c=4.993 alpha=90.00 beta=90.00 gamma=90.00
Space group P4/mmm (No. 123)
One atom of each set of equivalent atoms:
Ac  0.000  0.000  0.000 (multiplicity 1)
Ho  0.500  0.500  0.000 (multiplicity 1)
Lu  0.000  0.500  0.500 (multiplicity 2)

***

A geometry-optimized AcHo2Lu structure, computed with GGA-PBE.

Values from the calculation:
The energy is -51.0 eV/cell. The energy of formation comes out at 0.1933 eV per atom. The volume comes out at 410.3 Å³ per cell. The density comes out at 8.9 g/cm³. The size of the total moment is 0.00 μB/atom. As for the offset from the most stable computed form: 120.4 meV/atom.

Unit cell a=3.5486 b=3.5486 c=37.6252 alpha=90.00 beta=90.00 gamma=120.00
Space group R-3m (No. 166, hexagonal axes)
One atom of each set of equivalent atoms:
Ac  0.0000  0.0000  0.0000 (multiplicity 3)
Ho  0.0000  0.0000  0.0934 (multiplicity 6)
Lu  0.0000  0.0000  0.5000 (multiplicity 3)